Entry 1:
Density functional theory data (GGA-PBEsol) for a relaxed CrSi3Br crystal.

Output
Magnetic moment   4.776 μB per cell
Final energy   -4.268 eV/atom
DOS at the Fermi energy   0.53 states/eV/atom

a b c (Å): 4.8419 4.8419 4.8419
angles (deg): 90.00 90.00 90.00
With the nearest neighbours (Å) after each atom.
Element x y z (fractional)
Cr  0.0000  0.0000  0.0000  12 Si 3.42
Si  0.0000  0.5000  0.5000  2 Br 2.42
Si  0.5000  0.0000  0.5000  2 Br 2.42
Si  0.5000  0.5000  0.0000  2 Br 2.42
Br  0.5000  0.5000  0.5000  6 Si 2.42

Entry 2:
Density functional theory data (GGA-PBEsol) for a relaxed CoB2Rh2 crystal.

Output
Magnetic moment   2.583 μB per cell
Final energy   -7.589 eV/atom
Calculated formation energy   0.0202 eV/atom
DOS at the Fermi energy   1.05 states/eV/atom

a b c (Å): 4.7104 4.7104 4.7104
angles (deg): 133.68 133.68 67.58
With the nearest neighbours (Å) after each atom.
Element x y z (fractional)
Co  0.0000  0.0000  0.0000  8 Rh 2.69, 8 B 2.76
B  0.3886  0.3886  0.0000  1 B 1.75
B  0.6114  0.6114  0.0000  1 B 1.75
Rh  0.2500  0.7500  0.5000  4 B 2.15
Rh  0.7500  0.2500  0.5000  4 B 2.15